# LiTlAsBr2

Crystalline LiTlAsBr2 at its relaxed geometry (PBE, Alexandria via LeMat-Bulk).

Unit cell a=7.9588 b=4.6272 c=9.6601 alpha=90.00 beta=118.75 gamma=90.00
Fractional coordinates of all 10 atoms:
Tl (0.1810, 0.0000, 0.8255)
Tl (0.1810, 0.5000, 0.3255)
Br (0.4816, 0.5000, 0.7363)
Br (0.8519, 0.0000, 0.1012)
Br (0.4816, 0.0000, 0.2363)
Br (0.8519, 0.5000, 0.6012)
Li (0.6733, 0.0000, 0.5596)
Li (0.6733, 0.5000, 0.0596)
As (0.3453, 0.5000, 0.1070)
As (0.3453, 0.0000, 0.6070)

Its uncorrected formation energy is -0.46 eV/atom. The calculation puts the final energy at -2.91 eV per atom. Its distance to the lowest polymorph of the same formula is 0.1653 eV/atom. As for the space-group type: Cm (8).

=====

# LiTlAsBr2

Crystalline LiTlAsBr2 at its relaxed geometry (PBE, Alexandria via LeMat-Bulk).

Unit cell a=5.3947 b=5.4532 c=5.6413 alpha=89.96 beta=89.80 gamma=65.20
Fractional coordinates of all 5 atoms:
Li (0.3811, 0.8060, 0.7390)
As (0.5482, 0.2436, 0.7305)
Tl (0.6264, 0.1646, 0.2306)
Br (0.0434, 0.3678, 0.7304)
Br (0.2748, 0.8200, 0.2287)

Its uncorrected formation energy is -0.54 eV/atom. The calculation puts the final energy at -3.00 eV per atom. Its distance to the lowest polymorph of the same formula is 0.0836 eV/atom. As for the space-group type: P1 (1).

=====

# LiTlAsBr2

Crystalline LiTlAsBr2 at its relaxed geometry (PBE, Alexandria via LeMat-Bulk).

Unit cell a=5.2575 b=3.5922 c=7.9688 alpha=90.00 beta=98.95 gamma=90.00
Fractional coordinates of all 5 atoms:
Br (0.0313, 0.0000, 0.4596)
Br (0.7271, 0.0000, 0.8619)
Tl (0.2847, 0.5000, 0.0259)
As (0.4600, 0.0000, 0.3629)
Li (0.7115, 0.5000, 0.6305)

Its uncorrected formation energy is -0.53 eV/atom. The calculation puts the final energy at -2.99 eV per atom. Its distance to the lowest polymorph of the same formula is 0.0921 eV/atom. As for the space-group type: Pm (6).

=====

# LiAs2WBr

Crystalline LiAs2WBr at its relaxed geometry (PBE, Alexandria via LeMat-Bulk).

Unit cell a=4.4687 b=4.4687 c=4.8711 alpha=90.00 beta=90.00 gamma=90.00
Each line ends with the local moment (μB).
Fractional coordinates of all 5 atoms:
Br (0.0000, 0.0000, 0.5000)  -0.11
As (0.0000, 0.5000, 0.0000)  -0.11
As (0.5000, 0.0000, 0.0000)  -0.11
Li (0.0000, 0.0000, 0.0000)  0.02
W (0.5000, 0.5000, 0.5000)  2.51

Its uncorrected formation energy is 1.10 eV/atom. The calculation puts the final energy at -4.07 eV per atom. Its distance to the lowest polymorph of the same formula is 0.9537 eV/atom. As for the space-group type: P4/mmm (123).

=====

# LiAs2WBr

Crystalline LiAs2WBr at its relaxed geometry (PBE, Alexandria via LeMat-Bulk).

Unit cell a=4.8334 b=4.8334 c=5.6667 alpha=90.00 beta=90.00 gamma=90.00
Each line ends with the local moment (μB).
Fractional coordinates of all 5 atoms:
W (0.0000, 0.0000, 0.0000)  0.48
As (0.0000, 0.5000, 0.0000)  -0.03
As (0.5000, 0.0000, 0.0000)  -0.03
Br (0.0000, 0.0000, 0.5000)  0.01
Li (0.5000, 0.5000, 0.5000)  0.00

Its uncorrected formation energy is 0.15 eV/atom. The calculation puts the final energy at -5.02 eV per atom. Its distance to the lowest polymorph of the same formula is 0.0000 eV/atom. As for the space-group type: P4/mmm (123).

=====

# LiZnAs2Br

Crystalline LiZnAs2Br at its relaxed geometry (PBE, Alexandria via LeMat-Bulk).

Unit cell a=4.7258 b=4.7258 c=6.2392 alpha=90.00 beta=90.00 gamma=90.00
Fractional coordinates of all 5 atoms:
As (0.5000, 0.0000, 0.0000)
As (0.0000, 0.5000, 0.0000)
Zn (0.0000, 0.0000, 0.0000)
Li (0.5000, 0.5000, 0.5000)
Br (0.0000, 0.0000, 0.5000)

Its uncorrected formation energy is 0.16 eV/atom. The calculation puts the final energy at -2.67 eV per atom. Its distance to the lowest polymorph of the same formula is 0.0000 eV/atom. As for the space-group type: P4/mmm (123).

=====

# LiZnAs2Br

Crystalline LiZnAs2Br at its relaxed geometry (PBE, Alexandria via LeMat-Bulk).

Unit cell a=4.6975 b=4.9373 c=4.6975 alpha=90.00 beta=90.00 gamma=90.00
Fractional coordinates of all 5 atoms:
Li (0.0000, 0.0000, 0.0000)
Br (0.0000, 0.5000, 0.0000)
As (0.5000, 0.0000, 0.0000)
As (0.0000, 0.0000, 0.5000)
Zn (0.5000, 0.5000, 0.5000)

Its uncorrected formation energy is 0.43 eV/atom. The calculation puts the final energy at -2.41 eV per atom. Its distance to the lowest polymorph of the same formula is 0.2675 eV/atom. As for the space-group type: P4/mmm (123).

=====

# LiZrAs2Br

Crystalline LiZrAs2Br at its relaxed geometry (PBE, Alexandria via LeMat-Bulk).

Unit cell a=5.1690 b=5.1690 c=5.6386 alpha=90.00 beta=90.00 gamma=90.00
Fractional coordinates of all 5 atoms:
Li (0.5000, 0.5000, 0.5000)
Br (0.0000, 0.0000, 0.5000)
As (0.0000, 0.5000, 0.0000)
As (0.5000, 0.0000, 0.0000)
Zr (0.0000, 0.0000, 0.0000)

Its uncorrected formation energy is -0.34 eV/atom. The calculation puts the final energy at -4.63 eV per atom. Its distance to the lowest polymorph of the same formula is 0.0000 eV/atom. As for the space-group type: P4/mmm (123).

=====

# LiZrAs2Br

Crystalline LiZrAs2Br at its relaxed geometry (PBE, Alexandria via LeMat-Bulk).

Unit cell a=4.5610 b=4.5610 c=4.8535 alpha=90.00 beta=90.00 gamma=90.00
Fractional coordinates of all 5 atoms:
Li (0.0000, 0.0000, 0.0000)
As (0.0000, 0.5000, 0.0000)
As (0.5000, 0.0000, 0.0000)
Br (0.0000, 0.0000, 0.5000)
Zr (0.5000, 0.5000, 0.5000)

Its uncorrected formation energy is 0.12 eV/atom. The calculation puts the final energy at -4.16 eV per atom. Its distance to the lowest polymorph of the same formula is 0.4639 eV/atom. As for the space-group type: P4/mmm (123).

=====

# MgAsBr2

Crystalline MgAsBr2 at its relaxed geometry (PBE, Alexandria via LeMat-Bulk).

Unit cell a=4.7840 b=7.1873 c=7.1860 alpha=36.29 beta=90.00 gamma=90.00
Fractional coordinates of all 4 atoms:
As (0.5000, 0.6702, 0.6703)
Br (0.5000, 0.2587, 0.2590)
Br (0.0000, 0.9870, 0.9868)
Mg (0.0000, 0.5841, 0.5839)

Its uncorrected formation energy is -0.55 eV/atom. The calculation puts the final energy at -2.95 eV per atom. Its distance to the lowest polymorph of the same formula is 0.0000 eV/atom. As for the space-group type: Amm2 (38).

=====

# Mg2AsBr

Crystalline Mg2AsBr at its relaxed geometry (PBE, Alexandria via LeMat-Bulk).

Unit cell a=5.4568 b=5.4568 c=5.4568 alpha=137.24 beta=100.66 gamma=94.64
Fractional coordinates of all 4 atoms:
Mg (0.9730, 0.9730, 0.0000)
Mg (0.5270, 0.5270, 0.0000)
Br (0.2500, 0.7500, 0.5000)
As (0.7500, 0.2500, 0.5000)

Its uncorrected formation energy is -0.50 eV/atom. The calculation puts the final energy at -2.88 eV per atom. Its distance to the lowest polymorph of the same formula is 0.3515 eV/atom. As for the space-group type: Immm (71).

=====

# MgAsBr2

Crystalline MgAsBr2 at its relaxed geometry (PBE, Alexandria via LeMat-Bulk).

Unit cell a=12.9524 b=12.9524 c=12.9524 alpha=16.02 beta=16.02 gamma=16.02
Each line ends with the local moment (μB).
Fractional coordinates of all 4 atoms:
Br (0.8752, 0.8752, 0.8752)  0.00
Br (0.1248, 0.1248, 0.1248)  0.00
Mg (0.5000, 0.5000, 0.5000)  0.00
As (0.0000, 0.0000, 0.0000)  0.43

Its uncorrected formation energy is -0.51 eV/atom. The calculation puts the final energy at -2.91 eV per atom. Its distance to the lowest polymorph of the same formula is 0.0340 eV/atom. As for the space-group type: R-3m (166).